Below is YBi2C2 after structural relaxation, with properties calculated at the PBE level.

abc: 7.2323 7.2323 3.9396
angles: 90.00 90.00 90.00
Sites, in units of the cell vectors:
Y  0.0000  0.0000  0.0000
Y  0.5000  0.5000  0.0000
C  0.2840  0.7840  0.0000
C  0.7840  0.7160  0.0000
C  0.7160  0.2160  0.0000
C  0.2160  0.2840  0.0000
Bi  0.1545  0.6545  0.5000
Bi  0.6545  0.8455  0.5000
Bi  0.8455  0.3455  0.5000
Bi  0.3455  0.1545  0.5000

The value obtained for the formation enthalpy at 0 K is 0.97 eV/atom. The calculation puts the theoretical density at 8.6 Mg/m³. The calculation puts the energy above the most stable polymorph in this dataset at 1.74 eV per formula unit. For the total energy, the calculation gives -5.566 eV/atom.